Entry 1:
Entry from Alexandria via LeMat-Bulk: HoInCu2 at its PBEsol-relaxed geometry (meta-GGA SCAN).

```
4
Lattice="4.594 0.000 0.000 2.297 3.979 0.000 2.297 1.326 3.751" Properties=species:S:1:pos:R:3 pbc="T T T"
In 0.000 0.000 0.000
Cu 2.297 1.326 0.938
Ho 4.594 2.652 1.876
Cu 6.891 3.979 2.813
```

- E: -114.35 eV for the cell shown
- Space-group type: Fm-3m
- Energy of formation: -0.394 eV per atom
- Size of the total moment: 0.00 μB/f.u.
- Theoretical density: 9.9 g/cm3

=====

Entry 2:
Entry from Alexandria via LeMat-Bulk: Ba2NaBr2 at its PBEsol-relaxed geometry (meta-GGA SCAN).

```
5
Lattice="5.325 0.000 0.000 0.000 5.325 0.000 -2.662 -2.662 8.060" Properties=species:S:1:pos:R:3 pbc="T T T"
Br 2.662 0.000 4.030
Ba 0.000 0.000 5.872
Ba 2.662 2.662 2.187
Br 0.000 2.662 4.030
Na 0.000 0.000 0.000
```

- Raw formation energy: -6.9 eV per formula unit
- E: -129.14 eV for the cell shown
- Space-group type: I4/mmm
- Size of the total moment: 0.00 μB/f.u.
- Theoretical density: 3.3 g/cm3

=====

Entry 3:
Entry from Alexandria via LeMat-Bulk: AgP2Cl at its PBEsol-relaxed geometry (meta-GGA SCAN).

```
4
Lattice="3.763 0.000 0.000 0.000 3.770 0.000 0.000 0.000 5.567" Properties=species:S:1:pos:R:3 pbc="T T T"
P 0.000 0.000 4.566
Ag 1.881 1.885 0.000
Cl 1.881 1.885 2.783
P 0.000 0.000 1.001
```

- Raw formation energy: 1.0 eV per formula unit
- E: -59.11 eV for the cell shown
- Space-group type: P4/mmm
- Distance to the lowest polymorph of the same formula: 0.410 eV per atom
- Size of the total moment: 0.00 μB/f.u.
- Theoretical density: 4.3 g/cm3

=====

Entry 4:
Entry from Alexandria via LeMat-Bulk: Li2CaAlHg at its PBEsol-relaxed geometry (meta-GGA SCAN).

```
5
Lattice="-2.959 3.695 1.399 -3.923 -2.542 -1.584 -0.472 -2.088 4.519" Properties=species:S:1:pos:R:3 pbc="T T T"
Al 0.000 0.000 0.000
Hg -0.236 -1.044 2.259
Li -1.480 1.848 0.699
Ca -3.677 -0.468 2.167
Li -1.962 -1.271 -0.792
```

- E: -90.80 eV for the cell shown
- Space-group type: P4/mmm
- Energy of formation: -0.088 eV per atom
- Size of the total moment: 0.00 μB/f.u.
- Theoretical density: 3.8 g/cm3

=====

Entry 5:
Entry from Alexandria via LeMat-Bulk: In2HgBr at its PBEsol-relaxed geometry (meta-GGA SCAN).

```
4
Lattice="-1.707 -0.868 -3.165 -3.064 -0.856 1.888 -2.422 7.195 -0.668" Properties=species:S:1:pos:R:3 pbc="T T T"
Hg -3.596 2.735 -0.972
In -1.783 5.298 -0.492
Br -2.385 -0.862 -0.638
In -0.639 1.897 -0.176
```

- Raw formation energy: -0.8 eV per formula unit
- E: -155.22 eV for the cell shown
- Space-group type: P4/mmm
- Distance to the lowest polymorph of the same formula: 0.071 eV per atom
- Size of the total moment: 0.00 μB/f.u.
- Theoretical density: 8.1 g/cm3

=====

Entry 6:
Entry from Alexandria via LeMat-Bulk: LuMgCrS4 at its PBEsol-relaxed geometry (meta-GGA SCAN).

```
14
Lattice="-3.493 -2.383 -6.002 -5.264 -5.161 0.622 -7.070 1.870 -1.119" Properties=species:S:1:pos:R:3 pbc="T T T"
Mg -11.217 -2.384 -5.997
S -7.327 -0.474 -2.319
Cr -3.535 0.935 -0.559
Mg -4.610 -3.290 -0.502
S -8.500 -5.199 -4.179
S -9.045 -1.647 -5.272
Lu -1.747 -1.191 -3.001
S -6.781 -4.027 -1.226
S -10.079 -3.308 -1.802
S -4.036 -1.178 -1.674
S -11.790 -4.496 -4.825
Cr -5.281 -0.256 -3.560
S -5.748 -2.366 -4.697
Lu -7.913 -2.837 -3.249
```

- Raw formation energy: -11.8 eV per formula unit
- E: -258.08 eV for the cell shown
- Space-group type: Imma
- Size of the total moment: 2.99 μB/f.u.
- Theoretical density: 4.4 g/cm3

=====

Entry 7:
Entry from Alexandria via LeMat-Bulk: CrRuAu2 at its PBEsol-relaxed geometry (meta-GGA SCAN).

```
4
Lattice="2.736 0.000 0.000 1.368 2.370 0.000 1.368 0.790 9.014" Properties=species:S:1:pos:R:3 pbc="T T T"
Au 1.368 0.790 2.320
Ru 0.000 0.000 0.000
Cr 2.736 1.580 4.507
Au 4.105 2.370 6.694
```

- E: -190.02 eV for the cell shown
- Space-group type: R-3m
- Energy of formation: 0.377 eV per atom
- Distance to the lowest polymorph of the same formula: 0.297 eV per atom
- Size of the total moment: 1.78 μB/f.u.
- Theoretical density: 15.5 g/cm3

=====

Entry 8:
Entry from Alexandria via LeMat-Bulk: LiMg2P at its PBEsol-relaxed geometry (meta-GGA SCAN).

```
4
Lattice="-1.923 0.224 2.933 -2.230 -2.397 -1.279 3.108 -4.149 2.354" Properties=species:S:1:pos:R:3 pbc="T T T"
Mg 3.047 -4.068 2.308
Mg -1.168 -2.299 1.515
P 1.555 -2.076 1.178
Li 0.182 -4.101 2.538
```

- E: -23.73 eV for the cell shown
- Space-group type: P4mm
- Energy of formation: -0.248 eV per atom
- Size of the total moment: 0.00 μB/f.u.
- Theoretical density: 2.0 g/cm3